The following is a PBE calculation of a geometry-optimized CrAg2Ru structure, from Alexandria.

Cell: 5.5131 5.5131 5.5131 Å, 148.42 132.46 58.20°
Fractional positions:
Cr 0.0000 0.0000 0.0000
Ag 0.2473 0.7473 0.5000
Ag 0.7527 0.2527 0.5000
Ru 0.5000 0.5000 0.0000

The calculation puts the final energy at -5.624 eV per atom. As for the formation enthalpy at 0 K: 0.527 eV per atom. The value obtained for the density is 9.53 g cm⁻³. Its total magnetization is 2.36 μB per formula unit.